(1)
# KTlTe2O | the Alexandria database | PBE | relaxed
# formation energy (no corrections)	0.41	eV/atom
# VASP energy	-2.53	eV/atom
# spin magnetization	0.2417	μB/atom
data_KTlTe2O
_cell_length_a 5.715
_cell_length_b 5.715
_cell_length_c 7.808
_cell_angle_alpha 90.00
_cell_angle_beta 90.00
_cell_angle_gamma 90.00
_symmetry_space_group_name_H-M 'P 4/m m m'
_symmetry_Int_Tables_number 123
_symmetry_space_group_name_Hall '-P 4 2'
loop_
_atom_site_label
_atom_site_fract_x
_atom_site_fract_y
_atom_site_fract_z
K1 0.000 0.000 0.000
Tl1 0.000 0.000 0.500
Te1 0.000 0.500 0.500
O1 0.500 0.500 0.000


(2)
# KTlTeO6 | the Alexandria database | PBE | relaxed
# formation energy (no corrections)	-0.65	eV/atom
# VASP energy	-4.69	eV/atom
# spin magnetization	0.2263	μB/atom
data_KTlTeO6
_cell_length_a 5.303
_cell_length_b 5.303
_cell_length_c 10.345
_cell_angle_alpha 90.00
_cell_angle_beta 90.00
_cell_angle_gamma 90.00
_symmetry_space_group_name_H-M 'P 42 n m'
_symmetry_Int_Tables_number 102
_symmetry_space_group_name_Hall 'P 4n -2n'
loop_
_atom_site_label
_atom_site_fract_x
_atom_site_fract_y
_atom_site_fract_z
K1 0.000 0.000 0.000
Tl1 0.000 0.000 0.666
Te1 0.000 0.000 0.348
O1 0.171 0.171 0.486
O2 0.191 0.191 0.216
O3 0.245 0.245 0.812


(3)
# K3Tl3TeO8 | the Alexandria database | PBE | relaxed
# formation energy (no corrections)	-1.06	eV/atom
# VASP energy	-4.61	eV/atom
# spin magnetization	0.0000	μB/atom
data_K3Tl3TeO8
_cell_length_a 7.105
_cell_length_b 7.110
_cell_length_c 7.501
_cell_angle_alpha 61.76
_cell_angle_beta 61.96
_cell_angle_gamma 60.08
_symmetry_space_group_name_H-M 'P -1'
_symmetry_Int_Tables_number 2
_symmetry_space_group_name_Hall '-P 1'
loop_
_atom_site_label
_atom_site_fract_x
_atom_site_fract_y
_atom_site_fract_z
K1 0.000 0.000 0.000
K2 0.000 0.500 0.000
K3 0.500 0.000 0.000
Tl1 0.000 0.500 0.500
Tl2 0.500 0.000 0.500
Tl3 0.500 0.500 0.500
Te1 0.000 0.000 0.500
O1 0.192 0.793 0.320
O2 0.193 0.195 0.319
O3 0.206 0.808 0.680
O4 0.254 0.281 0.677


(4)
# KTl2TeO | the Alexandria database | PBE | relaxed
# formation energy (no corrections)	-0.59	eV/atom
# VASP energy	-3.37	eV/atom
# spin magnetization	0.0000	μB/atom
data_KTl2TeO
_cell_length_a 5.119
_cell_length_b 5.119
_cell_length_c 5.295
_cell_angle_alpha 90.00
_cell_angle_beta 90.00
_cell_angle_gamma 90.00
_symmetry_space_group_name_H-M 'P 4/m m m'
_symmetry_Int_Tables_number 123
_symmetry_space_group_name_Hall '-P 4 2'
loop_
_atom_site_label
_atom_site_fract_x
_atom_site_fract_y
_atom_site_fract_z
K1 0.000 0.000 0.000
Tl1 0.000 0.500 0.500
Te1 0.500 0.500 0.000
O1 0.000 0.000 0.500


(5)
# KTl2Te2O6 | the Alexandria database | PBE | relaxed
# formation energy (no corrections)	-1.01	eV/atom
# VASP energy	-4.81	eV/atom
# spin magnetization	0.0000	μB/atom
data_KTl2Te2O6
_cell_length_a 11.881
_cell_length_b 6.030
_cell_length_c 8.326
_cell_angle_alpha 90.00
_cell_angle_beta 126.62
_cell_angle_gamma 90.00
_symmetry_space_group_name_H-M 'C 1 2/m 1'
_symmetry_Int_Tables_number 12
_symmetry_space_group_name_Hall '-C 2y'
loop_
_atom_site_label
_atom_site_fract_x
_atom_site_fract_y
_atom_site_fract_z
K1 0.000 0.000 0.000
Tl1 0.111 0.500 0.442
Te1 0.229 0.000 0.799
O1 0.133 0.500 0.926
O2 0.212 0.271 0.294


(6)
# K5TlTeO2 | the Alexandria database | PBE | relaxed
# formation energy (no corrections)	-0.93	eV/atom
# VASP energy	-3.25	eV/atom
# spin magnetization	0.0005	μB/atom
data_K5TlTeO2
_cell_length_a 5.420
_cell_length_b 5.420
_cell_length_c 10.475
_cell_angle_alpha 90.00
_cell_angle_beta 90.00
_cell_angle_gamma 90.00
_symmetry_space_group_name_H-M 'P 4/m m m'
_symmetry_Int_Tables_number 123
_symmetry_space_group_name_Hall '-P 4 2'
loop_
_atom_site_label
_atom_site_fract_x
_atom_site_fract_y
_atom_site_fract_z
K1 0.000 0.000 0.000
K2 0.000 0.500 0.233
Tl1 0.000 0.000 0.500
Te1 0.500 0.500 0.000
O1 0.000 0.000 0.270


(7)
# K4TlTe3O12 | the Alexandria database | PBE | relaxed
# formation energy (no corrections)	-1.17	eV/atom
# VASP energy	-4.96	eV/atom
# spin magnetization	0.0000	μB/atom
data_K4TlTe3O12
_cell_length_a 8.252
_cell_length_b 8.252
_cell_length_c 8.252
_cell_angle_alpha 90.00
_cell_angle_beta 90.00
_cell_angle_gamma 90.00
_symmetry_space_group_name_H-M 'I m -3 m'
_symmetry_Int_Tables_number 229
_symmetry_space_group_name_Hall '-I 4 2 3'
loop_
_atom_site_label
_atom_site_fract_x
_atom_site_fract_y
_atom_site_fract_z
K1 0.250 0.250 0.250
Tl1 0.000 0.000 0.000
Te1 0.000 0.000 0.500
O1 0.000 0.000 0.270
O2 0.000 0.250 0.500


(8)
# K3TlTe2O9 | the Alexandria database | PBE | relaxed
# formation energy (no corrections)	-1.12	eV/atom
# VASP energy	-4.89	eV/atom
# spin magnetization	0.0000	μB/atom
data_K3TlTe2O9
_cell_length_a 5.8370
_cell_length_b 5.8370
_cell_length_c 7.2346
_cell_angle_alpha 90.00
_cell_angle_beta 90.00
_cell_angle_gamma 120.00
_symmetry_space_group_name_H-M 'P -3 m 1'
_symmetry_Int_Tables_number 164
_symmetry_space_group_name_Hall '-P 3 2"'
loop_
_atom_site_label
_atom_site_fract_x
_atom_site_fract_y
_atom_site_fract_z
K1 0.0000 0.0000 0.0000
K2 0.3333 0.6667 0.6638
Tl1 0.0000 0.0000 0.5000
Te1 0.3333 0.6667 0.1658
O1 0.0000 0.5000 0.0000
O2 0.1753 0.3506 0.3104


(9)
# K3TmTe2O9 | the Alexandria database | PBE | relaxed
# formation energy (no corrections)	-1.71	eV/atom
# VASP energy	-5.62	eV/atom
# spin magnetization	0.0000	μB/atom
data_K3TmTe2O9
_cell_length_a 5.8010
_cell_length_b 5.8010
_cell_length_c 7.1335
_cell_angle_alpha 90.00
_cell_angle_beta 90.00
_cell_angle_gamma 120.00
_symmetry_space_group_name_H-M 'P -3 m 1'
_symmetry_Int_Tables_number 164
_symmetry_space_group_name_Hall '-P 3 2"'
loop_
_atom_site_label
_atom_site_fract_x
_atom_site_fract_y
_atom_site_fract_z
K1 0.0000 0.0000 0.0000
K2 0.3333 0.6667 0.6671
Tm1 0.0000 0.0000 0.5000
Te1 0.3333 0.6667 0.1691
O1 0.0000 0.5000 0.0000
O2 0.1754 0.3508 0.3156


(10)
# K2Tm2TeO6 | the Alexandria database | PBE | relaxed
# formation energy (no corrections)	-2.33	eV/atom
# VASP energy	-6.33	eV/atom
# spin magnetization	0.0000	μB/atom
data_K2Tm2TeO6
_cell_length_a 5.888
_cell_length_b 10.178
_cell_length_c 6.641
_cell_angle_alpha 90.00
_cell_angle_beta 106.60
_cell_angle_gamma 90.00
_symmetry_space_group_name_H-M 'C 1 2/m 1'
_symmetry_Int_Tables_number 12
_symmetry_space_group_name_Hall '-C 2y'
loop_
_atom_site_label
_atom_site_fract_x
_atom_site_fract_y
_atom_site_fract_z
K1 0.000 0.166 0.000
Tm1 0.000 0.335 0.500
Te1 0.000 0.000 0.500
O1 0.219 0.168 0.675
O2 0.233 0.500 0.675


(11)
# KUTeO5 | the Alexandria database | PBE | relaxed
# formation energy (no corrections)	-2.13	eV/atom
# VASP energy	-7.17	eV/atom
# spin magnetization	0.1256	μB/atom
data_KUTeO5
_cell_length_a 7.327
_cell_length_b 11.111
_cell_length_c 8.441
_cell_angle_alpha 90.00
_cell_angle_beta 109.98
_cell_angle_gamma 90.00
_symmetry_space_group_name_H-M 'C 1 2/c 1'
_symmetry_Int_Tables_number 15
_symmetry_space_group_name_Hall '-C 2yc'
loop_
_atom_site_label
_atom_site_fract_x
_atom_site_fract_y
_atom_site_fract_z
K1 0.000 0.206 0.250
U1 0.000 0.500 0.000
Te1 0.000 0.128 0.750
O1 0.000 0.465 0.250
O2 0.023 0.331 0.538
O3 0.162 0.014 0.901


(12)
# K2UTe3O12 | the Alexandria database | PBE | relaxed
# formation energy (no corrections)	-1.63	eV/atom
# VASP energy	-6.21	eV/atom
# spin magnetization	0.0000	μB/atom
data_K2UTe3O12
_cell_length_a 7.4855
_cell_length_b 7.4855
_cell_length_c 19.1304
_cell_angle_alpha 90.00
_cell_angle_beta 90.00
_cell_angle_gamma 120.00
_symmetry_space_group_name_H-M 'R -3 m'
_symmetry_Int_Tables_number 166
_symmetry_space_group_name_Hall '-R 3 2"'
loop_
_atom_site_label
_atom_site_fract_x
_atom_site_fract_y
_atom_site_fract_z
K1 0.0000 0.0000 0.1041
U1 0.0000 0.0000 0.5000
Te1 0.0000 0.5000 0.0000
O1 0.0708 0.5354 0.3530
O2 0.0719 0.5359 0.1028